Entry 1:
DFT (PBE-GGA) results for a relaxed structure of ScSeN2F.

Values from the calculation:
VASP energy, eV/cell: -27.484
Formation energy from raw total energies, eV/atom: 0.171
SG: P4/mmm (123)
Energy relative to the lowest polymorph listed for this composition, meV per atom: 181

Cell lengths 3.989, 3.989, 3.957 Å; angles 90.00, 90.00, 90.00 degrees
Atoms (fractional coordinates):
N (0.500, 0.000, 0.000)
N (0.000, 0.500, 0.000)
Sc (0.500, 0.500, 0.500)
Se (0.000, 0.000, 0.000)
F (0.000, 0.000, 0.500)

Entry 2:
DFT (PBE-GGA) results for a relaxed structure of ScSeN2F.

Values from the calculation:
VASP energy, eV/cell: -28.388
Formation energy from raw total energies, eV/atom: -0.010
SG: P4/mmm (123)
Energy relative to the lowest polymorph listed for this composition, meV per atom: 0

Cell lengths 4.300, 4.300, 3.876 Å; angles 90.00, 90.00, 90.00 degrees
Atoms (fractional coordinates):
Se (0.500, 0.500, 0.500)
F (0.000, 0.000, 0.500)
N (0.000, 0.500, 0.000)
N (0.500, 0.000, 0.000)
Sc (0.000, 0.000, 0.000)

Entry 3:
DFT (PBE-GGA) results for a relaxed structure of ScSeN2F.

Values from the calculation:
VASP energy, eV/cell: -23.188
Formation energy from raw total energies, eV/atom: 1.030
SG: P4/mmm (123)
Energy relative to the lowest polymorph listed for this composition, meV per atom: 1040

Cell lengths 4.084, 4.084, 3.930 Å; angles 90.00, 90.00, 90.00 degrees
Site moments in Bohr magnetons follow the coordinates.
Atoms (fractional coordinates):
Se (0.000, 0.000, 0.500)  -0.01
F (0.000, 0.000, 0.000)  0.02
N (0.000, 0.500, 0.000)  0.20
N (0.500, 0.000, 0.000)  0.20
Sc (0.500, 0.500, 0.500)  -0.02

Entry 4:
DFT (PBE-GGA) results for a relaxed structure of ScSeNF2.

Values from the calculation:
VASP energy, eV/cell: -28.930
Formation energy from raw total energies, eV/atom: -1.409
SG: P4/mmm (123)
Energy relative to the lowest polymorph listed for this composition, meV per atom: 0

Cell lengths 3.919, 3.919, 4.759 Å; angles 90.00, 90.00, 90.00 degrees
Site moments in Bohr magnetons follow the coordinates.
Atoms (fractional coordinates):
F (0.500, 0.000, 0.000)  0.02
F (0.000, 0.500, 0.000)  0.02
Sc (0.000, 0.000, 0.000)  0.00
N (0.000, 0.000, 0.500)  -0.03
Se (0.500, 0.500, 0.500)  0.35